*P*
Compound: MgNbFeB
Source: OQMD via LeMat-Bulk
Functional: PBE
Structure: optimized geometry

Lattice parameters (Å, degrees): 5.8733 5.8733 5.8733 90.00 90.00 90.00
Space group F-43m (No. 216)
Symmetry-distinct sites (fractional):
Mg 0.0000 0.0000 0.0000
Nb 0.0000 0.0000 0.5000
Fe 0.2500 0.2500 0.7500
B 0.2500 0.2500 0.2500

Properties
V	50.7	Å³/f.u.
density	6.03	Mg/m³

=====

*Q*
Compound: MgNbFeB
Source: OQMD via LeMat-Bulk
Functional: PBE
Structure: optimized geometry

Lattice parameters (Å, degrees): 5.8074 5.8074 5.8074 90.00 90.00 90.00
Space group F-43m (No. 216)
Symmetry-distinct sites (fractional):
Mg 0.0000 0.0000 0.0000
Nb 0.2500 0.2500 0.7500
Fe 0.0000 0.0000 0.5000
B 0.2500 0.2500 0.2500

Properties
V	49.0	Å³/f.u.
density	6.24	Mg/m³

=====

*R*
Compound: MgNbFeB
Source: OQMD via LeMat-Bulk
Functional: PBE
Structure: optimized geometry

Lattice parameters (Å, degrees): 5.9130 5.9130 5.9130 90.00 90.00 90.00
Space group F-43m (No. 216)
Symmetry-distinct sites (fractional):
Mg 0.0000 0.0000 0.0000
Nb 0.2500 0.2500 0.2500
Fe 0.2500 0.2500 0.7500
B 0.0000 0.0000 0.5000

Properties
V	51.7	Å³/f.u.
density	5.91	Mg/m³

=====

It comes down to *P*, which is 0.115 eV/atom more stable than the next structure.